(1)
DFT (PBEsol) results for a relaxed Mg3AuO crystal.

The space group is Pm-3m (No. 221) and the conventional cell measures 4.9638, 4.9638 and 4.9638 Å, with angles of 90.00, 90.00 and 90.00 degrees. The distinct sites, in fractional coordinates, are Mg at (0.0000, 0.0000, 0.5000), Au at (0.0000, 0.0000, 0.0000) and O at (0.5000, 0.5000, 0.5000).

As for the crystal system: cubic. For the uncorrected formation energy, the calculation gives 0.185 eV/atom.

***

(2)
DFT (PBEsol) results for a relaxed MgAu2S4O16 crystal.

The space group is Fdd2 (No. 43) and the conventional cell measures 14.4983, 16.8879 and 10.3680 Å, with angles of 90.00, 90.00 and 90.00 degrees. The distinct sites, in fractional coordinates, are Mg at (0.0000, 0.0000, 0.0000), Au at (0.0944, 0.3778, 0.9509), S at (0.0562, 0.3728, 0.2408), S at (0.1123, 0.1205, 0.4060), O at (0.0280, 0.1745, 0.4311), O at (0.0304, 0.1773, 0.7215), O at (0.0484, 0.4261, 0.3495), O at (0.0631, 0.4252, 0.6291), O at (0.0667, 0.4267, 0.1232), O at (0.0938, 0.0590, 0.3145), O at (0.1194, 0.0662, 0.9978) and O at (0.1205, 0.3261, 0.7835).

As for the crystal system: orthorhombic. For the uncorrected formation energy, the calculation gives -1.212 eV/atom.

***

(3)
DFT (PBEsol) results for a relaxed Mg2TcAuO crystal.

The space group is P4/mmm (No. 123) and the conventional cell measures 5.0593, 5.0593 and 4.7119 Å, with angles of 90.00, 90.00 and 90.00 degrees. The distinct sites, in fractional coordinates, are Mg at (0.0000, 0.5000, 0.0000), Tc at (0.0000, 0.0000, 0.0000), Au at (0.0000, 0.0000, 0.5000) and O at (0.5000, 0.5000, 0.5000).

As for the crystal system: tetragonal. For the uncorrected formation energy, the calculation gives 1.239 eV/atom.

***

(4)
DFT (PBEsol) results for a relaxed MgOs2Au crystal.

The space group is Cmmm (No. 65) and the conventional cell measures 2.8767, 4.5430 and 9.4026 Å, with angles of 90.00, 90.00 and 90.00 degrees. The distinct sites, in fractional coordinates, are Mg at (0.0000, 0.0000, 0.0000), Os at (0.0000, 0.5000, 0.2415) and Au at (0.0000, 0.0000, 0.5000).

The value obtained for the formation energy is 561 meV/atom. As for the crystal system: orthorhombic.

***

(5)
DFT (PBEsol) results for a relaxed MgOsAu3 crystal.

The space group is Pm-3m (No. 221) and the conventional cell measures 4.9478, 4.9478 and 4.9478 Å, with angles of 90.00, 90.00 and 90.00 degrees. The distinct sites, in fractional coordinates, are Mg at (0.0000, 0.0000, 0.0000), Os at (0.5000, 0.5000, 0.5000) and Au at (0.0000, 0.5000, 0.5000).

For the excess energy over the best structure of this formula in the dataset, the calculation gives 0 meV/atom. The value obtained for the formation energy is 1067 meV/atom. As for the crystal system: cubic.

***

(6)
DFT (PBEsol) results for a relaxed MgOsAu2 crystal.

The space group is F-43m (No. 216) and the conventional cell measures 6.3624, 6.3624 and 6.3624 Å, with angles of 90.00, 90.00 and 90.00 degrees. The distinct sites, in fractional coordinates, are Mg at (0.0000, 0.0000, 0.0000), Os at (0.2500, 0.2500, 0.7500), Au at (0.0000, 0.0000, 0.5000) and Au at (0.2500, 0.2500, 0.2500).

The value obtained for the formation energy is 389 meV/atom. As for the crystal system: cubic.

***

(7)
DFT (PBEsol) results for a relaxed MgOs2Au crystal.

The space group is P2/m (No. 10) and the conventional cell measures 4.6569, 2.7957 and 4.8387 Å, with angles of 90.00, 107.26 and 90.00 degrees. The distinct sites, in fractional coordinates, are Mg at (0.0000, 0.0000, 0.0000), Os at (0.0000, 0.5000, 0.5000), Os at (0.5000, 0.0000, 0.5000) and Au at (0.5000, 0.5000, 0.0000).

The value obtained for the formation energy is 282 meV/atom. As for the crystal system: monoclinic.

***

(8)
DFT (PBEsol) results for a relaxed MgOsAu2 crystal.

The space group is R3m (No. 160, hexagonal axes) and the conventional cell measures 2.8314, 2.8314 and 27.6707 Å, with angles of 90.00, 90.00 and 120.00 degrees. The distinct sites, in fractional coordinates, are Mg at (0.0000, 0.0000, 0.0000), Os at (0.0000, 0.0000, 0.7464), Au at (0.0000, 0.0000, 0.2511) and Au at (0.0000, 0.0000, 0.4958).

The value obtained for the formation energy is 172 meV/atom. As for the crystal system: trigonal.

***

The following total magnetization values (in μB per cell) correspond, in order, to the records above: 0.72 0.00 1.42 0.00 1.18 3.78 0.00 0.01.